A relaxed MgPtRhO4 crystal. Source: the Alexandria database, functional PBE-GGA.

Unit cell a=6.286 b=6.286 c=6.286 alpha=121.67 beta=121.59 gamma=87.20
Sites, in units of the cell vectors:
Mg (0.361, 0.111, 0.250)
Mg (0.639, 0.889, 0.750)
Pt (0.000, 0.500, 0.500)
Pt (0.500, 0.500, 0.000)
Rh (0.000, 0.000, 0.500)
Rh (0.000, 0.500, 0.000)
O (0.208, 0.232, 0.976)
O (0.228, 0.254, 0.526)
O (0.228, 0.701, 0.974)
O (0.245, 0.768, 0.476)
O (0.755, 0.232, 0.524)
O (0.772, 0.299, 0.026)
O (0.772, 0.746, 0.474)
O (0.792, 0.768, 0.024)

- Energy: -83.80 eV/cell
- Formation energy (no corrections): -1.011 eV/atom
- Symmetry: Imma, No. 74
- Total magnetization: 0.956 μB/f.u.